# GGA-PBEsol BRuRh3, relaxed
data_BRuRh3
_cell_length_a 4.553
_cell_length_b 4.553
_cell_length_c 4.553
_cell_angle_alpha 90.00
_cell_angle_beta 90.00
_cell_angle_gamma 90.00
_space_group_name_H-M_alt 'P 1'
_space_group_IT_number 1
loop_
_space_group_symop_operation_xyz
'x,y,z'
loop_
_atom_site_label
_atom_site_type_symbol
_atom_site_fract_x
_atom_site_fract_y
_atom_site_fract_z
B1 B 0.500 0.500 0.500
Rh1 Rh 0.000 0.000 0.500
Rh2 Rh 0.000 0.500 0.000
Rh3 Rh 0.500 0.000 0.000
Ru1 Ru 0.000 0.000 0.000
# **Raw total energy**: -30.080 eV per cell